--- one ---
The following is a DFT calculation (GGA-PBE) of an optimized crystal structure of Na2Tl3Pd4.

Properties
M_tot = 0.0 Bohr magnetons per cell
SG = No. 64
DOS(E_F) = 3.031 states/eV/f.u.
volume = 391 Å³/cell

Cell: 6.135 7.444 9.094 Å, 90.00 109.71 90.00°
Fractional positions:
Pd1 0.838 0.015 0.675
Pd2 0.338 0.485 0.675
Pd3 0.829 0.250 0.157
Pd4 0.329 0.250 0.157
Pd5 0.162 0.985 0.325
Pd6 0.662 0.515 0.325
Pd7 0.171 0.750 0.843
Pd8 0.671 0.750 0.843
Na1 0.591 0.905 0.181
Na2 0.909 0.405 0.819
Na3 0.409 0.095 0.819
Na4 0.091 0.595 0.181
Tl1 0.000 0.000 0.000
Tl2 0.994 0.250 0.487
Tl3 0.494 0.250 0.487
Tl4 0.506 0.750 0.513
Tl5 0.500 0.500 0.000
Tl6 0.006 0.750 0.513

***

--- two ---
The following is a DFT calculation (GGA-PBE) of an optimized crystal structure of Na2Tl3Pd4.

Properties
M_tot = 0.0 Bohr magnetons per cell
SG = No. 2
DOS(E_F) = 2.940 states/eV/f.u.
volume = 176 Å³/cell

Cell: 4.446 5.077 8.897 Å, 78.29 90.05 64.03°
Fractional positions:
Pd1 0.670 0.659 0.906
Pd2 0.999 0.001 0.670
Pd3 0.001 0.999 0.330
Pd4 0.330 0.341 0.094
Tl1 0.336 0.329 0.413
Tl2 0.000 0.000 0.000
Tl3 0.664 0.671 0.587
Na1 0.662 0.676 0.222
Na2 0.338 0.324 0.778

***

From most stable to least stable, the computed energies give one, two.

***

--- one ---
The following is a DFT calculation (GGA-PBE) of an optimized crystal structure of Na2TlPd3.

Properties
M_tot = 0.0 Bohr magnetons per cell
SG = No. 71
DOS(E_F) = 1.715 states/eV/f.u.
volume = 124 Å³/cell

Cell: 2.972 5.554 8.169 Å, 109.87 100.48 90.00°
Fractional positions:
Pd1 0.655 0.655 0.310
Pd2 0.000 0.000 0.000
Pd3 0.345 0.345 0.690
Na1 0.329 0.829 0.659
Na2 0.671 0.171 0.341
Tl1 0.000 0.500 0.000

***

--- two ---
The following is a DFT calculation (GGA-PBE) of an optimized crystal structure of Na2TlPd3.

Properties
M_tot = 0.0 Bohr magnetons per cell
SG = No. 166
DOS(E_F) = 2.461 states/eV/f.u.
volume = 122 Å³/cell

Cell: 5.526 5.526 5.526 Å, 60.86 60.86 60.86°
Fractional positions:
Pd1 0.000 0.500 0.000
Pd2 0.500 0.000 0.000
Pd3 0.000 0.000 0.500
Na1 0.382 0.382 0.382
Na2 0.618 0.618 0.618
Tl1 0.000 0.000 0.000

***

From most stable to least stable, the computed energies give two, one.

***

--- one ---
The following is a DFT calculation (GGA-PBE) of an optimized crystal structure of Na2VPd.

Properties
M_tot = 3.9 Bohr magnetons per cell
SG = No. 225
DOS(E_F) = 5.972 states/eV/f.u.
volume = 82 Å³/cell

Cell: 4.872 4.872 4.872 Å, 60.00 60.00 60.00°
Each line ends with the local moment (μB).
Fractional positions:
V1 0.000 0.000 0.000  3.02
Pd1 0.500 0.500 0.500  -0.02
Na1 0.750 0.750 0.750  0.02
Na2 0.250 0.250 0.250  0.02

***

--- two ---
The following is a DFT calculation (GGA-PBE) of an optimized crystal structure of Na2VPd.

Properties
M_tot = 7.3 Bohr magnetons per cell
SG = No. 122
DOS(E_F) = 3.967 states/eV/f.u.
volume = 183 Å³/cell

Cell: 8.364 8.364 6.467 Å, 49.71 49.71 90.00°
Each line ends with the local moment (μB).
Fractional positions:
Na1 0.375 0.334 0.750  0.01
Na2 0.666 0.125 0.250  0.01
Na3 0.084 0.625 0.250  0.01
Na4 0.875 0.916 0.750  0.01
Pd1 0.000 0.000 0.000  -0.01
Pd2 0.750 0.250 0.500  -0.01
V1 0.500 0.500 0.000  2.81
V2 0.250 0.750 0.500  2.81

***

From most stable to least stable, the computed energies give one, two.